# Er5TlAu2

A relaxed Er5TlAu2 crystal (PBE, the Alexandria database).

Properties
- Formation enthalpy at 0 K: -552 meV per atom
- VASP energy: -0.166 Ha/atom
- Space-group type: I4/mcm (140)
- Total moment: 0.0 μB per cell

Lattice parameters (Å, degrees): 8.023 8.023 8.644 117.65 117.65 90.00
Element x y z (fractional)
Er: 0.513 0.701 0.714
Er: 0.799 0.987 0.286
Er: 0.000 0.000 0.000
Er: 0.500 0.500 0.000
Er: 0.201 0.013 0.714
Er: 0.701 0.201 0.714
Er: 0.013 0.513 0.714
Er: 0.299 0.799 0.286
Er: 0.987 0.487 0.286
Er: 0.487 0.299 0.286
Tl: 0.750 0.750 0.500
Tl: 0.250 0.250 0.500
Au: 0.137 0.363 0.000
Au: 0.637 0.137 0.000
Au: 0.363 0.863 0.000
Au: 0.863 0.637 0.000